<i>
VASP calculation (PBE-GGA) on crystalline KMnAl2 at its relaxed geometry.

Unit cell a=4.9623 b=4.9623 c=4.9623 alpha=60.00 beta=60.00 gamma=60.00
Last column: nearest neighbours and their distance in Å.
Element x y z (fractional)
K1 0.0000 0.0000 0.0000  4 Mn 3.04, 4 Al 3.04
Mn1 0.7500 0.7500 0.7500  4 K 3.04, 4 Al 3.04
Al1 0.2500 0.2500 0.2500  4 K 3.04, 4 Al 3.04
Al2 0.5000 0.5000 0.5000  4 Mn 3.04, 4 Al 3.04

=====

<ii>
VASP calculation (PBE-GGA) on crystalline KMnAl2 at its relaxed geometry.

Unit cell a=6.3436 b=6.3436 c=6.3436 alpha=154.16 beta=127.26 gamma=59.63
Last column: nearest neighbours and their distance in Å.
Element x y z (fractional)
K1 0.0000 0.0000 0.0000  2 K 2.84, 4 Al 3.16
Mn1 0.2934 0.7934 0.5000  2 Al 2.59, 2 Mn 2.84
Al1 0.4908 0.4908 0.0000  2 Mn 2.59, 4 Al 2.79-2.84
Al2 0.7094 0.2094 0.5000  4 Al 2.79-2.84

=====

<iii>
VASP calculation (PBE-GGA) on crystalline KMnAl2 at its relaxed geometry.

Unit cell a=2.8861 b=3.9579 c=8.0275 alpha=90.00 beta=90.00 gamma=90.00
Last column: nearest neighbours and their distance in Å.
Element x y z (fractional)
K1 0.0000 0.0000 0.0000  2 K 2.89
Mn1 0.5000 0.5000 0.3454  5 Al 2.55-2.62
Al1 0.0000 0.0000 0.4625  4 Mn 2.62, 6 Al 2.89-2.93
Al2 0.5000 0.5000 0.6635  1 Mn 2.55

=====

<iv>
VASP calculation (PBE-GGA) on crystalline KMnAl2 at its relaxed geometry.

Unit cell a=3.0746 b=3.0746 c=9.0792 alpha=90.00 beta=90.00 gamma=90.00
Last column: nearest neighbours and their distance in Å.
Element x y z (fractional)
K1 0.0000 0.0000 0.0000  4 K 3.07
Mn1 0.5000 0.5000 0.3284  4 Al 2.60
Al1 0.0000 0.0000 0.4848  4 Mn 2.60, 4 Al 2.85
Al2 0.5000 0.5000 0.6880  8 Al 2.85-3.07

=====

Energy above the most stable structure, in eV/atom: <i> 0.328; <ii> 0.195; <iii> 0.000; <iv> 0.025

=====

<i>
VASP calculation (PBE-GGA) on crystalline KMnAl2 at its relaxed geometry.

Unit cell a=4.7333 b=4.7333 c=4.7333 alpha=60.00 beta=60.00 gamma=60.00
Last column: nearest neighbours and their distance in Å.
Element x y z (fractional)
K1 0.0000 0.0000 0.0000  8 Al 2.90
Mn1 0.5000 0.5000 0.5000  8 Al 2.90
Al1 0.2500 0.2500 0.2500  4 Mn 2.90, 4 K 2.90
Al2 0.7500 0.7500 0.7500  4 Mn 2.90, 4 K 2.90

=====

<ii>
VASP calculation (PBE-GGA) on crystalline KMnAl2 at its relaxed geometry.

Unit cell a=4.5716 b=4.5716 c=7.5258 alpha=94.34 beta=94.34 gamma=35.98
Last column: nearest neighbours and their distance in Å.
Element x y z (fractional)
K1 0.0000 0.0000 0.0000  2 K 2.82
Mn1 0.5000 0.5000 0.5000  6 Al 2.66-2.67, 2 Mn 2.82
Al1 0.2338 0.2338 0.6531  3 Mn 2.66-2.67, 4 Al 2.74-2.82
Al2 0.7662 0.7662 0.3469  3 Mn 2.66-2.67, 4 Al 2.74-2.82

=====

<iii>
VASP calculation (PBE-GGA) on crystalline KMnAl2 at its relaxed geometry.

Unit cell a=5.8036 b=5.8036 c=2.8308 alpha=90.00 beta=90.00 gamma=116.06
Last column: nearest neighbours and their distance in Å.
Element x y z (fractional)
K1 0.0000 0.0000 0.0000  2 K 2.83, 2 Mn 3.07
Mn1 0.5000 0.5000 0.0000  2 Mn 2.83, 2 K 3.07
Al1 0.0000 0.5000 0.5000  4 Al 2.83-3.07
Al2 0.5000 0.0000 0.5000  4 Al 2.83-3.07

=====

<iv>
VASP calculation (PBE-GGA) on crystalline KMnAl2 at its relaxed geometry.

Unit cell a=9.4978 b=9.4978 c=9.4978 alpha=147.32 beta=147.32 gamma=46.89
Last column: nearest neighbours and their distance in Å.
Element x y z (fractional)
K1 0.3750 0.6250 0.7500  8 Al 3.70, 4 Mn 3.78
K2 0.6250 0.3750 0.2500  8 Al 3.70, 4 Mn 3.78
Mn1 0.1250 0.8750 0.2500  4 Al 2.56
Mn2 0.8750 0.1250 0.7500  4 Al 2.56
Al1 0.0000 0.0000 0.0000  2 Mn 2.56, 2 Al 2.67
Al2 0.0000 0.0000 0.5000  2 Mn 2.56, 2 Al 2.67
Al3 0.0000 0.5000 0.0000  2 Mn 2.56, 2 Al 2.67
Al4 0.5000 0.0000 0.5000  2 Mn 2.56, 2 Al 2.67

=====

Energy above the most stable structure, in eV/atom: <i> 0.671; <ii> 0.000; <iii> 0.334; <iv> 0.267

=====

<i>
VASP calculation (PBE-GGA) on crystalline KMn3Al at its relaxed geometry.

Unit cell a=4.7994 b=4.7994 c=4.7994 alpha=90.00 beta=90.00 gamma=90.00
Last column: nearest neighbours and their distance in Å.
Element x y z (fractional)
K1 0.0000 0.0000 0.0000  6 Mn 2.40
Mn1 0.0000 0.0000 0.5000  2 K 2.40
Mn2 0.0000 0.5000 0.0000  2 K 2.40
Mn3 0.5000 0.0000 0.0000  2 K 2.40
Al1 0.5000 0.5000 0.5000  12 Mn 3.39

=====

<ii>
VASP calculation (PBE-GGA) on crystalline KMn3Al at its relaxed geometry.

Unit cell a=5.0028 b=5.0028 c=5.0028 alpha=90.00 beta=90.00 gamma=90.00
Last column: nearest neighbours and their distance in Å.
Element x y z (fractional)
K1 0.0000 0.0000 0.0000  12 Mn 3.54
Mn1 0.0000 0.5000 0.5000  2 Al 2.50
Mn2 0.5000 0.0000 0.5000  2 Al 2.50
Mn3 0.5000 0.5000 0.0000  2 Al 2.50
Al1 0.5000 0.5000 0.5000  6 Mn 2.50

=====

Energy above the most stable structure, in eV/atom: <i> 1.141; <ii> 0.000

=====

<i>
VASP calculation (PBE-GGA) on crystalline KMnAl3 at its relaxed geometry.

Unit cell a=5.5449 b=5.5449 c=5.5449 alpha=90.00 beta=90.00 gamma=90.00
Last column: nearest neighbours and their distance in Å.
Element x y z (fractional)
K1 0.0000 0.0000 0.0000  6 Al 2.77
Mn1 0.5000 0.5000 0.5000  12 Al 3.92
Al1 0.0000 0.0000 0.5000  2 K 2.77
Al2 0.0000 0.5000 0.0000  2 K 2.77
Al3 0.5000 0.0000 0.0000  2 K 2.77

=====

<ii>
VASP calculation (PBE-GGA) on crystalline KMnAl3 at its relaxed geometry.

Unit cell a=4.7405 b=4.7405 c=4.7405 alpha=90.00 beta=90.00 gamma=90.00
Last column: nearest neighbours and their distance in Å.
Element x y z (fractional)
K1 0.0000 0.0000 0.0000  12 Al 3.35
Mn1 0.5000 0.5000 0.5000  6 Al 2.37
Al1 0.0000 0.5000 0.5000  2 Mn 2.37
Al2 0.5000 0.0000 0.5000  2 Mn 2.37
Al3 0.5000 0.5000 0.0000  2 Mn 2.37

=====

Energy above the most stable structure, in eV/atom: <i> 1.744; <ii> 0.000

=====

<i>
VASP calculation (PBE-GGA) on crystalline KTiMnAl at its relaxed geometry.

Unit cell a=3.0372 b=3.0488 c=8.9836 alpha=90.00 beta=90.00 gamma=90.00
Last column: nearest neighbours and their distance in Å.
Element x y z (fractional)
K1 0.0000 0.0000 0.0000  4 K 3.04-3.05
Ti1 0.5000 0.5000 0.3814  4 Mn 2.50, 1 Al 2.70
Mn1 0.0000 0.0000 0.5228  4 Ti 2.50, 4 Al 2.59
Al1 0.5000 0.5000 0.6823  4 Mn 2.59, 1 Ti 2.70

=====

<ii>
VASP calculation (PBE-GGA) on crystalline KTiMnAl at its relaxed geometry.

Unit cell a=4.3906 b=4.3906 c=7.0612 alpha=108.33 beta=108.33 gamma=60.53
Last column: nearest neighbours and their distance in Å.
Element x y z (fractional)
K1 0.0000 0.0000 0.0000  4 Ti 3.67-3.88, 4 Al 3.72-3.86, 3 Mn 3.93-3.96
Ti1 0.1887 0.1887 0.5579  3 Mn 2.59-2.63, 3 Al 2.71-2.72
Mn1 0.4871 0.4871 0.4605  3 Al 2.56, 3 Ti 2.59-2.63
Al1 0.8056 0.8056 0.4135  3 Mn 2.56, 3 Ti 2.71-2.72

=====

<iii>
VASP calculation (PBE-GGA) on crystalline KTiMnAl at its relaxed geometry.

Unit cell a=3.0004 b=3.0012 c=10.7392 alpha=82.04 beta=82.11 gamma=60.04
Last column: nearest neighbours and their distance in Å.
Element x y z (fractional)
K1 0.0000 0.0000 0.0000  6 K 3.00, 1 Ti 3.31
Ti1 0.8909 0.8907 0.3125  3 Al 2.79, 6 Ti 3.00
Mn1 0.7617 0.7570 0.7113  3 Al 2.68
Al1 0.1575 0.1547 0.5189  3 Mn 2.68, 3 Ti 2.79

=====

Energy above the most stable structure, in eV/atom: <i> 0.000; <ii> 0.203; <iii> 0.312

=====

<i>
VASP calculation (PBE-GGA) on crystalline KAlMo at its relaxed geometry.

Unit cell a=5.1633 b=5.1633 c=5.1633 alpha=60.00 beta=60.00 gamma=60.00
Last column: nearest neighbours and their distance in Å.
Element x y z (fractional)
K1 0.0000 0.0000 0.0000  4 Mo 3.16, 4 Al 3.16
Al1 0.7500 0.7500 0.7500  4 K 3.16
Mo1 0.2500 0.2500 0.2500  4 K 3.16

=====

<ii>
VASP calculation (PBE-GGA) on crystalline KAlMo at its relaxed geometry.

Unit cell a=8.3820 b=8.3220 c=2.7821 alpha=81.63 beta=79.20 gamma=19.17
Last column: nearest neighbours and their distance in Å.
Element x y z (fractional)
K1 0.0000 0.0000 0.0000  4 K 2.78
Al1 0.3183 0.3183 0.6817  4 Mo 2.76-2.93, 4 Al 2.78
Mo1 0.6915 0.6915 0.3085  4 Al 2.76-2.93, 4 Mo 2.78

=====

Energy above the most stable structure, in eV/atom: <i> 1.454; <ii> 0.000

=====

<i>
VASP calculation (PBE-GGA) on crystalline KAlMo at its relaxed geometry.

Unit cell a=6.8515 b=6.8515 c=6.8515 alpha=156.89 beta=142.83 gamma=44.23
Last column: nearest neighbours and their distance in Å.
Element x y z (fractional)
K1 0.0000 0.0000 0.0000  2 K 2.74
Al1 0.2761 0.2761 0.0000  4 Mo 2.66, 2 Al 2.74
Mo1 0.7236 0.7236 0.0000  4 Al 2.66, 2 Mo 2.74

=====

<ii>
VASP calculation (PBE-GGA) on crystalline KAlMo at its relaxed geometry.

Unit cell a=6.7813 b=6.7813 c=6.7813 alpha=149.07 beta=149.07 gamma=44.31
Last column: nearest neighbours and their distance in Å.
Element x y z (fractional)
K1 0.0000 0.0000 0.0000  1 Al 3.32, 1 Mo 3.33, 4 K 3.62
Al1 0.2642 0.2642 0.0000  4 Mo 2.58
Mo1 0.7347 0.7347 0.0000  4 Al 2.58

=====

<iii>
VASP calculation (PBE-GGA) on crystalline KAlMo at its relaxed geometry.

Unit cell a=8.3100 b=8.3100 c=8.3100 alpha=160.65 beta=160.65 gamma=27.49
Last column: nearest neighbours and their distance in Å.
Element x y z (fractional)
K1 0.0000 0.0000 0.0000  4 K 2.79
Al1 0.3164 0.3164 0.0000  4 Al 2.79, 4 Mo 2.81
Mo1 0.6929 0.6929 0.0000  4 Mo 2.79, 4 Al 2.81

=====

Energy above the most stable structure, in eV/atom: <i> 0.035; <ii> 0.080; <iii> 0.000

=====

<i>
VASP calculation (PBE-GGA) on crystalline KAlMo at its relaxed geometry.

Unit cell a=2.9189 b=2.9189 c=8.3512 alpha=90.00 beta=90.00 gamma=120.00
Last column: nearest neighbours and their distance in Å.
Element x y z (fractional)
K1 0.0000 0.0000 0.0000  6 K 2.92
Al1 0.3333 0.6667 0.6310  3 Mo 2.76, 6 Al 2.92
Mo1 0.6667 0.3333 0.3688  3 Al 2.76, 6 Mo 2.92

=====

<ii>
VASP calculation (PBE-GGA) on crystalline KAlMo at its relaxed geometry.

Unit cell a=4.8154 b=4.8154 c=4.8154 alpha=60.00 beta=60.00 gamma=60.00
Last column: nearest neighbours and their distance in Å.
Element x y z (fractional)
K1 0.0000 0.0000 0.0000  4 Mo 2.95
Al1 0.5000 0.5000 0.5000  4 Mo 2.95
Mo1 0.2500 0.2500 0.2500  4 K 2.95, 4 Al 2.95

=====

Energy above the most stable structure, in eV/atom: <i> 0.000; <ii> 0.821

=====

<i>
VASP calculation (PBE-GGA) on crystalline KAl2Mo at its relaxed geometry.

Unit cell a=2.8979 b=3.7192 c=8.1134 alpha=90.00 beta=90.00 gamma=90.00
Last column: nearest neighbours and their distance in Å.
Element x y z (fractional)
K1 0.0000 0.0000 0.0000  2 K 2.90
Al1 0.5000 0.5000 0.3315  4 Mo 2.73, 3 Al 2.73-2.90
Al2 0.5000 0.5000 0.6685  4 Mo 2.73, 3 Al 2.73-2.90
Mo1 0.0000 0.0000 0.5000  8 Al 2.73, 2 Mo 2.90

=====

<ii>
VASP calculation (PBE-GGA) on crystalline KAl2Mo at its relaxed geometry.

Unit cell a=2.7806 b=5.2435 c=5.7340 alpha=90.00 beta=90.00 gamma=90.00
Last column: nearest neighbours and their distance in Å.
Element x y z (fractional)
K1 0.0000 0.0000 0.0000  2 K 2.78, 4 Al 2.97
Al1 0.0000 0.5000 0.5000  2 Al 2.78, 4 Mo 2.97
Al2 0.5000 0.5000 0.0000  2 Al 2.78, 4 K 2.97
Mo1 0.5000 0.0000 0.5000  2 Mo 2.78, 4 Al 2.97

=====

Energy above the most stable structure, in eV/atom: <i> 0.000; <ii> 0.775

=====

<i>
VASP calculation (PBE-GGA) on crystalline KAlMo3 at its relaxed geometry.

Unit cell a=4.8048 b=4.8048 c=4.8048 alpha=90.00 beta=90.00 gamma=90.00
Last column: nearest neighbours and their distance in Å.
Element x y z (fractional)
K1 0.0000 0.0000 0.0000  12 Mo 3.40
Al1 0.5000 0.5000 0.5000  6 Mo 2.40
Mo1 0.0000 0.5000 0.5000  2 Al 2.40
Mo2 0.5000 0.0000 0.5000  2 Al 2.40
Mo3 0.5000 0.5000 0.0000  2 Al 2.40

=====

<ii>
VASP calculation (PBE-GGA) on crystalline KAlMo3 at its relaxed geometry.

Unit cell a=4.5162 b=4.5162 c=4.5162 alpha=90.00 beta=90.00 gamma=90.00
Last column: nearest neighbours and their distance in Å.
Element x y z (fractional)
K1 0.0000 0.0000 0.0000  6 Mo 2.26
Al1 0.5000 0.5000 0.5000  12 Mo 3.19
Mo1 0.0000 0.0000 0.5000  2 K 2.26
Mo2 0.0000 0.5000 0.0000  2 K 2.26
Mo3 0.5000 0.0000 0.0000  2 K 2.26

=====

Energy above the most stable structure, in eV/atom: <i> 0.000; <ii> 0.971

=====

<i>
VASP calculation (PBE-GGA) on crystalline K2AlN at its relaxed geometry.

Unit cell a=8.8870 b=8.8870 c=8.8870 alpha=92.40 beta=92.40 gamma=156.36
Last column: nearest neighbours and their distance in Å.
Element x y z (fractional)
K1 0.3750 0.1845 0.3095  2 N 3.19, 2 Al 3.44
K2 0.8155 0.1250 0.1905  2 N 3.19, 2 Al 3.44
K3 0.8750 0.0655 0.6905  2 N 3.19, 2 Al 3.44
K4 0.9345 0.6250 0.8095  2 N 3.19, 2 Al 3.44
Al1 0.2500 0.7500 0.5000  2 N 1.82
Al2 0.5000 0.5000 0.0000  2 N 1.82
N1 0.0000 0.0000 0.0000  2 Al 1.82
N2 0.7500 0.2500 0.5000  2 Al 1.82

=====

<ii>
VASP calculation (PBE-GGA) on crystalline K2AlN at its relaxed geometry.

Unit cell a=5.2101 b=5.2101 c=5.2101 alpha=60.00 beta=60.00 gamma=60.00
Last column: nearest neighbours and their distance in Å.
Element x y z (fractional)
K1 0.2500 0.2500 0.2500  4 Al 3.19, 4 N 3.19
K2 0.7500 0.7500 0.7500  4 Al 3.19, 4 N 3.19
Al1 0.0000 0.0000 0.0000  8 K 3.19
N1 0.5000 0.5000 0.5000  8 K 3.19

=====

Energy above the most stable structure, in eV/atom: <i> 0.000; <ii> 1.082

=====

<i>
VASP calculation (PBE-GGA) on crystalline KAl3N at its relaxed geometry.

Unit cell a=4.5501 b=4.5501 c=4.5501 alpha=90.00 beta=90.00 gamma=90.00
Last column: nearest neighbours and their distance in Å.
Element x y z (fractional)
K1 0.0000 0.0000 0.0000  12 Al 3.22
Al1 0.0000 0.5000 0.5000  2 N 2.28
Al2 0.5000 0.0000 0.5000  2 N 2.28
Al3 0.5000 0.5000 0.0000  2 N 2.28
N1 0.5000 0.5000 0.5000  6 Al 2.28

=====

<ii>
VASP calculation (PBE-GGA) on crystalline KAl3N at its relaxed geometry.

Unit cell a=6.1735 b=6.1735 c=6.1735 alpha=90.00 beta=90.00 gamma=90.00
Last column: nearest neighbours and their distance in Å.
Element x y z (fractional)
K1 0.0000 0.0000 0.0000  6 Al 3.09
Al1 0.0000 0.0000 0.5000  2 K 3.09
Al2 0.0000 0.5000 0.0000  2 K 3.09
Al3 0.5000 0.0000 0.0000  2 K 3.09
N1 0.5000 0.5000 0.5000  12 Al 4.37

=====

Energy above the most stable structure, in eV/atom: <i> 0.000; <ii> 1.793